Compound: LiTaSi2
Source: Alexandria
Functional: PBE
Structure: optimized geometry

The structure in POSCAR format:
```
LiTaSi2
1.0
1.456 0.841 8.708
-1.456 0.841 8.708
0.000 -1.682 8.708
Li Ta Si
1 1 2
direct
0.000 0.000 0.000
0.233 0.233 0.233
0.486 0.486 0.486
0.746 0.746 0.746
```

Properties
**D(E_F)**: 3.39 states/eV/f.u.
**Total energy**: -5.985 eV/atom
**Symmetry**: R3m (160)
**Polymorph energy (0 for the lowest one)**: 1.62 eV/f.u.
**E_form (uncorrected)**: 0.7 eV per formula unit

---

Compound: PmSm6Th2
Source: Alexandria
Functional: PBE
Structure: optimized geometry

The structure in POSCAR format:
```
PmSm6Th2
1.0
3.611 0.000 0.000
-1.805 3.127 0.000
0.000 0.000 26.971
Pm Sm Th
1 6 2
direct
0.000 0.000 0.000
0.000 0.000 0.221
0.000 0.000 0.437
0.000 0.000 0.563
0.000 0.000 0.779
0.333 0.667 0.110
0.333 0.667 0.890
0.333 0.667 0.330
0.333 0.667 0.670
```

Properties
**D(E_F)**: 17.85 states/eV/f.u.
**Total energy**: -5.246 eV/atom
**Symmetry**: P-6m2 (187)
**Energy of formation**: 0.077 eV/atom

---

Compound: ZrOs2Rh
Source: Alexandria
Functional: PBE
Structure: optimized geometry

The structure in POSCAR format:
```
ZrOs2Rh
1.0
2.857 0.000 0.000
0.000 3.873 0.000
-0.009 0.000 5.799
Zr Os Rh
1 2 1
direct
0.000 0.000 0.000
0.000 0.000 0.484
0.500 0.500 0.293
0.500 0.500 0.751
```

Properties
**D(E_F)**: 3.17 states/eV/f.u.
**Total energy**: -9.762 eV/atom
**Symmetry**: Pm (6)
**Polymorph energy (0 for the lowest one)**: 0.16 eV/f.u.
**Energy of formation**: -0.172 eV/atom

---

Compound: CuTe2Br
Source: Alexandria
Functional: PBE
Structure: optimized geometry

The structure in POSCAR format:
```
CuTe2Br
1.0
0.000 3.609 3.609
3.609 0.000 3.609
3.609 3.609 0.000
Cu Te Br
1 2 1
direct
0.000 0.000 0.000
0.250 0.250 0.250
0.750 0.750 0.750
0.500 0.500 0.500
```

Properties
**D(E_F)**: 2.85 states/eV/f.u.
**Total energy**: -2.522 eV/atom
**Symmetry**: Fm-3m (225)
**E_form (uncorrected)**: 2.0 eV per formula unit